# GGA-PBE MnBRh2, relaxed
data_MnBRh2
_chemical_formula_sum 'Mn4 B4 Rh8'
_symmetry_space_group_name_H-M 'I -4 2 d'
_symmetry_Int_Tables_number 122
_symmetry_space_group_name_Hall 'I -4 2bw'
_cell_length_a 6.603
_cell_length_b 6.603
_cell_length_c 4.568
_cell_angle_alpha 90.00
_cell_angle_beta 90.00
_cell_angle_gamma 90.00
loop_
_atom_site_label
_atom_site_fract_x
_atom_site_fract_y
_atom_site_fract_z
_atom_site_occupancy
Mn1 0.000 0.000 0.000 1
B1 0.000 0.000 0.500 1
Rh1 0.155 0.250 0.625 1
# * E_tot: -7.433 eV/atom
# * ΔH_f (0 K): 0.82 eV/f.u.

=====

# GGA-PBE Mn3BRh, relaxed
data_Mn3BRh
_chemical_formula_sum 'Mn3 B1 Rh1'
_symmetry_space_group_name_H-M 'P m -3 m'
_symmetry_Int_Tables_number 221
_symmetry_space_group_name_Hall '-P 4 2 3'
_cell_length_a 4.759
_cell_length_b 4.759
_cell_length_c 4.759
_cell_angle_alpha 90.00
_cell_angle_beta 90.00
_cell_angle_gamma 90.00
loop_
_atom_site_label
_atom_site_fract_x
_atom_site_fract_y
_atom_site_fract_z
_atom_site_occupancy
Mn1 0.000 0.000 0.500 1
B1 0.500 0.500 0.500 1
Rh1 0.000 0.000 0.000 1
# * distance to the lowest polymorph of the same formula: 7.74 eV/f.u.
# * E_tot: -6.602 eV/atom
# * ΔH_f (0 K): 8.53 eV/f.u.

=====

Mass density
In order: 9.06 4.29
Unit: g cm⁻³
V
In order: 199 108
Unit: Å³ per cell
N(E_F)
In order: 1.114 0.684
Unit: states/eV/atom